# CaIr2Se | the Alexandria database | PBE | optimized geometry
# * offset from the most stable computed form: 26.2 kJ per mole of atoms
# * formation energy (no corrections): 0.1 eV/f.u.
# * DOS at the Fermi energy: 0.90 states/eV/atom
data_CaIr2Se
_cell_length_a 3.139
_cell_length_b 3.139
_cell_length_c 7.399
_cell_angle_alpha 90.00
_cell_angle_beta 90.00
_cell_angle_gamma 90.00
_symmetry_space_group_name_H-M 'P 4 m m'
_symmetry_Int_Tables_number 99
loop_
_symmetry_equiv_pos_as_xyz
'x,y,z'
'-y,x,z'
'-x,-y,z'
'y,-x,z'
'-x,y,z'
'y,x,z'
'x,-y,z'
'-y,-x,z'
loop_
_atom_site_label
_atom_site_type_symbol
_atom_site_fract_x
_atom_site_fract_y
_atom_site_fract_z
Ca1 Ca 0.000 0.000 0.000
Ir1 Ir 0.000 0.000 0.493
Ir2 Ir 0.500 0.500 0.280
Se1 Se 0.500 0.500 0.701